PBE Zr2UAg, optimized geometry; formation energy from the elements = 201 meV per atom
1.0
-1.383 -1.533 -2.857
3.167 0.025 -1.547
1.345 -6.156 2.653
U Zr Ag
1 2 1
Cartesian
0.892 -0.754 -2.202 U
1.017 -4.654 2.006 Zr
0.328 -1.502 0.647 Zr
1.564 -3.832 -0.876 Ag

=====

PBE MgSc2Br, optimized geometry; uncorrected formation energy = 1.059 eV/f.u.
1.0
-0.803 1.546 4.933
1.304 -3.145 3.972
4.069 1.201 3.060
Br Mg Sc
1 1 2
Cartesian
2.286 -0.199 5.982 Br
3.428 -0.298 8.973 Mg
0.000 0.000 0.000 Sc
1.143 -0.099 2.991 Sc

=====

PBE WBr6N2, optimized geometry; uncorrected formation energy = 7.226 eV/f.u.
1.0
0.000 5.399 5.399
5.399 0.000 5.399
5.399 5.399 0.000
W Br N
1 6 2
Cartesian
0.000 0.000 0.000 W
5.399 2.476 5.399 Br
5.399 8.322 5.399 Br
5.399 5.399 2.476 Br
5.399 5.399 8.322 Br
2.476 5.399 5.399 Br
8.322 5.399 5.399 Br
2.700 2.700 2.700 N
8.099 8.099 8.099 N

=====

PBE LiYTe2, optimized geometry; uncorrected formation energy = -4.775 eV/f.u.
1.0
7.370 0.001 0.008
6.307 3.812 0.008
-0.006 -0.002 4.236
Li Te Y
1 2 1
Cartesian
3.163 0.882 0.531 Li
0.464 0.129 0.532 Te
10.737 2.993 2.659 Te
6.143 1.713 2.656 Y

=====

PBE LuScCo, optimized geometry; formation energy from the elements = -211 meV per atom
1.0
-2.863 0.545 1.363
-1.380 0.016 -2.906
1.201 -6.127 1.176
Sc Lu Co
1 1 1
Cartesian
-0.542 -3.446 0.238 Sc
-0.061 -0.388 0.027 Lu
-2.438 -1.732 -0.632 Co

=====

PBE Rb4Nd3MnSe8, optimized geometry; uncorrected formation energy = -22.748 eV/f.u.
1.0
8.567 0.000 0.000
0.000 9.392 0.573
-4.284 -4.280 6.065
Rb Nd Mn Se
4 3 1 8
Cartesian
4.284 0.000 0.000 Rb
2.142 -2.140 3.032 Rb
0.000 0.000 0.000 Rb
-2.142 -2.140 3.032 Rb
4.284 4.696 0.287 Nd
2.142 2.556 3.319 Nd
-2.142 2.556 3.319 Nd
0.000 4.696 0.287 Mn
-2.294 2.329 6.295 Se
0.000 4.620 3.052 Se
0.000 0.506 3.386 Se
2.294 2.329 6.295 Se
1.990 2.784 0.343 Se
4.284 4.607 3.252 Se
4.284 0.493 3.586 Se
6.578 2.784 0.343 Se

=====

PBE ErAgSnPt, optimized geometry; formation energy from the elements = -677 meV per atom
1.0
4.846 0.000 0.000
2.423 4.196 0.000
2.423 1.399 3.956
Ag Sn Pt Er
1 1 1 1
Cartesian
4.846 2.798 1.978 Ag
7.269 4.196 2.967 Sn
0.000 0.000 0.000 Pt
2.423 1.399 0.989 Er

=====

PBE ScCdHg4, optimized geometry; formation energy from the elements = -100 meV per atom
1.0
5.377 0.000 0.000
2.689 2.687 0.430
2.689 1.190 9.870
Sc Cd Hg
1 1 4
Cartesian
0.000 0.000 0.000 Sc
5.377 1.938 5.150 Cd
5.377 2.442 1.949 Hg
5.377 1.435 8.351 Hg
8.066 1.688 6.757 Hg
2.689 2.189 3.544 Hg